# ZrBe2Ni GGA-PBE relaxed
# VASP energy ... -23.03 eV/f.u.
# Total magnetic moment ... 2.92 μB per cell
data_ZrBe2Ni
_chemical_formula_sum 'Zr9 Be18 Ni9'
_cell_length_a 4.7975
_cell_length_b 4.7975
_cell_length_c 22.1737
_cell_angle_alpha 90.00
_cell_angle_beta 90.00
_cell_angle_gamma 120.00
_space_group_name_H-M_alt 'R -3 m'
_space_group_IT_number 166
_space_group_name_Hall '-R 3 2"'
loop_
_atom_site_label
_atom_site_type_symbol
_atom_site_fract_x
_atom_site_fract_y
_atom_site_fract_z
Zr1 Zr 0.0000 0.0000 0.0000
Zr2 Zr 0.0000 0.0000 0.1436
Be1 Be 0.0148 0.5074 0.0804
Ni1 Ni 0.0000 0.0000 0.3305
Ni2 Ni 0.0000 0.0000 0.5000

***

# Zr4BeNi GGA-PBE relaxed
# VASP energy ... -44.79 eV/f.u.
# E above lowest polymorph ... 0 kJ/mol of formula units
# Total magnetic moment ... 0.00 μB per cell
data_Zr4BeNi
_chemical_formula_sum 'Zr8 Be2 Ni2'
_cell_length_a 6.660
_cell_length_b 6.660
_cell_length_c 4.949
_cell_angle_alpha 90.00
_cell_angle_beta 90.00
_cell_angle_gamma 90.00
_space_group_name_H-M_alt 'I 4 2 2'
_space_group_IT_number 97
_space_group_name_Hall 'I 4 2'
loop_
_atom_site_label
_atom_site_type_symbol
_atom_site_fract_x
_atom_site_fract_y
_atom_site_fract_z
Zr1 Zr 0.161 0.339 0.250
Be1 Be 0.000 0.000 0.500
Ni1 Ni 0.000 0.000 0.000

***

# Zr4BeNi3 GGA-PBE relaxed
# VASP energy ... -58.03 eV/f.u.
# Total magnetic moment ... 0.00 μB per cell
data_Zr4BeNi3
_chemical_formula_sum 'Zr4 Be1 Ni3'
_cell_length_a 3.321
_cell_length_b 4.016
_cell_length_c 10.045
_cell_angle_alpha 90.00
_cell_angle_beta 90.00
_cell_angle_gamma 90.00
_space_group_name_H-M_alt 'P m m 2'
_space_group_IT_number 25
loop_
_space_group_symop_operation_xyz
'x,y,z'
'-x,-y,z'
'-x,y,z'
'x,-y,z'
loop_
_atom_site_label
_atom_site_type_symbol
_atom_site_fract_x
_atom_site_fract_y
_atom_site_fract_z
Zr1 Zr 0.000 0.000 0.000
Zr2 Zr 0.000 0.500 0.283
Zr3 Zr 0.500 0.000 0.503
Zr4 Zr 0.500 0.500 0.787
Be1 Be 0.000 0.000 0.716
Ni1 Ni 0.000 0.500 0.572
Ni2 Ni 0.500 0.000 0.227
Ni3 Ni 0.500 0.500 0.065

***

# ZrBe2Ni2 GGA-PBE relaxed
# VASP energy ... -28.53 eV/f.u.
# E above lowest polymorph ... 81 kJ/mol of formula units
# Total magnetic moment ... 0.00 μB per cell
data_ZrBe2Ni2
_chemical_formula_sum 'Zr2 Be4 Ni4'
_cell_length_a 6.795
_cell_length_b 6.795
_cell_length_c 2.586
_cell_angle_alpha 90.00
_cell_angle_beta 90.00
_cell_angle_gamma 90.00
_space_group_name_H-M_alt 'P 4/m b m'
_space_group_IT_number 127
_space_group_name_Hall '-P 4 2ab'
loop_
_atom_site_label
_atom_site_type_symbol
_atom_site_fract_x
_atom_site_fract_y
_atom_site_fract_z
Zr1 Zr 0.000 0.000 0.000
Be1 Be 0.156 0.344 0.500
Ni1 Ni 0.132 0.632 0.000

***

# ZrBe17Ni GGA-PBE relaxed
# VASP energy ... -80.20 eV/f.u.
# Total magnetic moment ... 0.00 μB per cell
data_ZrBe17Ni
_chemical_formula_sum 'Zr3 Be51 Ni3'
_cell_length_a 7.3743
_cell_length_b 7.3743
_cell_length_c 10.7952
_cell_angle_alpha 90.00
_cell_angle_beta 90.00
_cell_angle_gamma 120.00
_space_group_name_H-M_alt 'R 3 m'
_space_group_IT_number 160
_space_group_name_Hall 'R 3 -2"'
loop_
_atom_site_label
_atom_site_type_symbol
_atom_site_fract_x
_atom_site_fract_y
_atom_site_fract_z
Zr1 Zr 0.0000 0.0000 0.0000
Be1 Be 0.0000 0.0000 0.5585
Be2 Be 0.0000 0.0000 0.7558
Be3 Be 0.0407 0.3664 0.3260
Be4 Be 0.1721 0.3442 0.8377
Be5 Be 0.1729 0.3457 0.4974
Be6 Be 0.1736 0.3472 0.1421
Ni1 Ni 0.0000 0.0000 0.3357

***

# ZrBe2Ni GGA-PBE relaxed
# VASP energy ... -20.88 eV/f.u.
# Total magnetic moment ... 0.00 μB per cell
data_ZrBe2Ni
_chemical_formula_sum 'Zr3 Be6 Ni3'
_cell_length_a 2.8393
_cell_length_b 2.8393
_cell_length_c 22.9396
_cell_angle_alpha 90.00
_cell_angle_beta 90.00
_cell_angle_gamma 120.00
_space_group_name_H-M_alt 'R -3 m'
_space_group_IT_number 166
_space_group_name_Hall '-R 3 2"'
loop_
_atom_site_label
_atom_site_type_symbol
_atom_site_fract_x
_atom_site_fract_y
_atom_site_fract_z
Zr1 Zr 0.0000 0.0000 0.0000
Be1 Be 0.0000 0.0000 0.2330
Ni1 Ni 0.0000 0.0000 0.5000

***

# ZrBe9Ni2 GGA-PBE relaxed
# VASP energy ... -57.14 eV/f.u.
# E above lowest polymorph ... 0 kJ/mol of formula units
# Total magnetic moment ... 0.00 μB per cell
data_ZrBe9Ni2
_chemical_formula_sum 'Zr4 Be36 Ni8'
_cell_length_a 8.949
_cell_length_b 8.949
_cell_length_c 5.781
_cell_angle_alpha 90.00
_cell_angle_beta 90.00
_cell_angle_gamma 90.00
_space_group_name_H-M_alt 'I 41/a m d'
_space_group_IT_number 141
loop_
_space_group_symop_operation_xyz
'x,y,z'
'-x,-y,-z'
'-y+1/4,x+3/4,z+1/4'
'y+1/4,-x+3/4,-z+1/4'
'-x+1/2,-y,z+1/2'
'x+1/2,y,-z+1/2'
'y+1/4,-x+1/4,z+3/4'
'-y+1/4,x+1/4,-z+3/4'
'x,-y,-z'
'-x,y,z'
'-y+1/4,-x+1/4,-z+3/4'
'y+1/4,x+1/4,z+3/4'
'-x+1/2,y,-z+1/2'
'x+1/2,-y,z+1/2'
'y+1/4,x+3/4,-z+1/4'
'-y+1/4,-x+3/4,z+1/4'
'x+1/2,y+1/2,z+1/2'
'-x+1/2,-y+1/2,-z+1/2'
'-y+3/4,x+1/4,z+3/4'
'y+3/4,-x+1/4,-z+3/4'
'-x,-y+1/2,z'
'x,y+1/2,-z'
'y+3/4,-x+3/4,z+1/4'
'-y+3/4,x+3/4,-z+1/4'
'x+1/2,-y+1/2,-z+1/2'
'-x+1/2,y+1/2,z+1/2'
'-y+3/4,-x+3/4,-z+1/4'
'y+3/4,x+3/4,z+1/4'
'-x,y+1/2,-z'
'x,-y+1/2,z'
'y+3/4,x+1/4,-z+3/4'
'-y+3/4,-x+1/4,z+3/4'
loop_
_atom_site_label
_atom_site_type_symbol
_atom_site_fract_x
_atom_site_fract_y
_atom_site_fract_z
Zr1 Zr 0.000 0.250 0.375
Be1 Be 0.000 0.250 0.875
Be2 Be 0.125 0.041 0.684
Ni1 Ni 0.000 0.000 0.000

***

# ZrBe2Ni2 GGA-PBE relaxed
# VASP energy ... -29.04 eV/f.u.
# E above lowest polymorph ... 33 kJ/mol of formula units
# Total magnetic moment ... 0.00 μB per cell
data_ZrBe2Ni2
_chemical_formula_sum 'Zr2 Be4 Ni4'
_cell_length_a 3.724
_cell_length_b 3.724
_cell_length_c 8.842
_cell_angle_alpha 90.00
_cell_angle_beta 90.00
_cell_angle_gamma 90.00
_space_group_name_H-M_alt 'I 4/m m m'
_space_group_IT_number 139
_space_group_name_Hall '-I 4 2'
loop_
_atom_site_label
_atom_site_type_symbol
_atom_site_fract_x
_atom_site_fract_y
_atom_site_fract_z
Zr1 Zr 0.000 0.000 0.000
Be1 Be 0.000 0.500 0.250
Ni1 Ni 0.000 0.000 0.370

***

# ZrBe6Ni6 GGA-PBE relaxed
# VASP energy ... -70.77 eV/f.u.
# Total magnetic moment ... 0.00 μB per cell
data_ZrBe6Ni6
_chemical_formula_sum 'Zr2 Be12 Ni12'
_cell_length_a 4.440
_cell_length_b 7.666
_cell_length_c 7.700
_cell_angle_alpha 90.00
_cell_angle_beta 90.00
_cell_angle_gamma 90.00
_space_group_name_H-M_alt 'I m m m'
_space_group_IT_number 71
_space_group_name_Hall '-I 2 2'
loop_
_atom_site_label
_atom_site_type_symbol
_atom_site_fract_x
_atom_site_fract_y
_atom_site_fract_z
Zr1 Zr 0.000 0.000 0.000
Be1 Be 0.000 0.500 0.265
Be2 Be 0.250 0.250 0.250
Ni1 Ni 0.000 0.000 0.346
Ni2 Ni 0.000 0.303 0.500
Ni3 Ni 0.000 0.347 0.000

***

# ZrBe2Ni2 GGA-PBE relaxed
# VASP energy ... -29.38 eV/f.u.
# E above lowest polymorph ... 0 kJ/mol of formula units
# Total magnetic moment ... 0.00 μB per cell
data_ZrBe2Ni2
_chemical_formula_sum 'Zr4 Be8 Ni8'
_cell_length_a 3.591
_cell_length_b 3.591
_cell_length_c 18.916
_cell_angle_alpha 90.00
_cell_angle_beta 90.00
_cell_angle_gamma 90.00
_space_group_name_H-M_alt 'I 4/m m m'
_space_group_IT_number 139
_space_group_name_Hall '-I 4 2'
loop_
_atom_site_label
_atom_site_type_symbol
_atom_site_fract_x
_atom_site_fract_y
_atom_site_fract_z
Zr1 Zr 0.000 0.000 0.129
Be1 Be 0.000 0.000 0.317
Be2 Be 0.000 0.500 0.000
Ni1 Ni 0.000 0.000 0.434
Ni2 Ni 0.000 0.500 0.250

***

# Zr2Be5Ni5 GGA-PBE relaxed
# VASP energy ... -69.70 eV/f.u.
# Total magnetic moment ... 0.00 μB per cell
data_Zr2Be5Ni5
_chemical_formula_sum 'Zr2 Be5 Ni5'
_cell_length_a 3.741
_cell_length_b 4.597
_cell_length_c 8.113
_cell_angle_alpha 90.00
_cell_angle_beta 90.00
_cell_angle_gamma 90.00
_space_group_name_H-M_alt 'P m m m'
_space_group_IT_number 47
loop_
_space_group_symop_operation_xyz
'x,y,z'
'-x,-y,-z'
'-x,-y,z'
'x,y,-z'
'x,-y,-z'
'-x,y,z'
'-x,y,-z'
'x,-y,z'
loop_
_atom_site_label
_atom_site_type_symbol
_atom_site_fract_x
_atom_site_fract_y
_atom_site_fract_z
Zr1 Zr 0.000 0.000 0.000
Zr2 Zr 0.000 0.500 0.500
Be1 Be 0.500 0.000 0.500
Be2 Be 0.500 0.251 0.251
Ni1 Ni 0.000 0.000 0.333
Ni2 Ni 0.000 0.500 0.179
Ni3 Ni 0.500 0.500 0.000

***

# ZrBe2Ni GGA-PBE relaxed
# VASP energy ... -22.32 eV/f.u.
# Total magnetic moment ... 0.00 μB per cell
data_ZrBe2Ni
_chemical_formula_sum 'Zr2 Be4 Ni2'
_cell_length_a 3.487
_cell_length_b 2.927
_cell_length_c 9.921
_cell_angle_alpha 90.00
_cell_angle_beta 90.00
_cell_angle_gamma 90.00
_space_group_name_H-M_alt 'A m m 2'
_space_group_IT_number 38
loop_
_space_group_symop_operation_xyz
'x,y,z'
'-x,-y,z'
'-x,y,z'
'x,-y,z'
'x,y+1/2,z+1/2'
'-x,-y+1/2,z+1/2'
'-x,y+1/2,z+1/2'
'x,-y+1/2,z+1/2'
loop_
_atom_site_label
_atom_site_type_symbol
_atom_site_fract_x
_atom_site_fract_y
_atom_site_fract_z
Zr1 Zr 0.000 0.000 0.000
Be1 Be 0.000 0.000 0.737
Be2 Be 0.500 0.000 0.630
Ni1 Ni 0.500 0.000 0.294

***

# ZrBeNi3 GGA-PBE relaxed
# VASP energy ... -30.38 eV/f.u.
# E above lowest polymorph ... 0 kJ/mol of formula units
# Total magnetic moment ... 0.00 μB per cell
data_ZrBeNi3
_chemical_formula_sum 'Zr1 Be1 Ni3'
_cell_length_a 4.001
_cell_length_b 4.001
_cell_length_c 4.001
_cell_angle_alpha 90.00
_cell_angle_beta 90.00
_cell_angle_gamma 90.00
_space_group_name_H-M_alt 'P m -3 m'
_space_group_IT_number 221
_space_group_name_Hall '-P 4 2 3'
loop_
_atom_site_label
_atom_site_type_symbol
_atom_site_fract_x
_atom_site_fract_y
_atom_site_fract_z
Zr1 Zr 0.000 0.000 0.000
Be1 Be 0.500 0.500 0.500
Ni1 Ni 0.000 0.500 0.500

***

# Zr4BeNi GGA-PBE relaxed
# VASP energy ... -44.07 eV/f.u.
# E above lowest polymorph ... 70 kJ/mol of formula units
# Total magnetic moment ... 0.00 μB per cell
data_Zr4BeNi
_chemical_formula_sum 'Zr16 Be4 Ni4'
_cell_length_a 6.371
_cell_length_b 6.371
_cell_length_c 11.154
_cell_angle_alpha 90.00
_cell_angle_beta 90.00
_cell_angle_gamma 90.00
_space_group_name_H-M_alt 'I 4/m c m'
_space_group_IT_number 140
_space_group_name_Hall '-I 4 2c'
loop_
_atom_site_label
_atom_site_type_symbol
_atom_site_fract_x
_atom_site_fract_y
_atom_site_fract_z
Zr1 Zr 0.165 0.335 0.139
Be1 Be 0.000 0.000 0.250
Ni1 Ni 0.000 0.000 0.000

***

# ZrBe2Ni GGA-PBE relaxed
# VASP energy ... -22.74 eV/f.u.
# Total magnetic moment ... 0.00 μB per cell
data_ZrBe2Ni
_chemical_formula_sum 'Zr3 Be6 Ni3'
_cell_length_a 3.7262
_cell_length_b 3.7262
_cell_length_c 12.8870
_cell_angle_alpha 90.00
_cell_angle_beta 90.00
_cell_angle_gamma 120.00
_space_group_name_H-M_alt 'R 3 m'
_space_group_IT_number 160
_space_group_name_Hall 'R 3 -2"'
loop_
_atom_site_label
_atom_site_type_symbol
_atom_site_fract_x
_atom_site_fract_y
_atom_site_fract_z
Zr1 Zr 0.0000 0.0000 0.0000
Be1 Be 0.0000 0.0000 0.2013
Be2 Be 0.0000 0.0000 0.5016
Ni1 Ni 0.0000 0.0000 0.7940

***

# Zr4BeNi GGA-PBE relaxed
# VASP energy ... -39.38 eV/f.u.
# E above lowest polymorph ... 522 kJ/mol of formula units
# Total magnetic moment ... 0.00 μB per cell
data_Zr4BeNi
_chemical_formula_sum 'Zr16 Be4 Ni4'
_cell_length_a 7.891
_cell_length_b 7.891
_cell_length_c 7.891
_cell_angle_alpha 90.00
_cell_angle_beta 90.00
_cell_angle_gamma 90.00
_space_group_name_H-M_alt 'F -4 3 m'
_space_group_IT_number 216
_space_group_name_Hall 'F -4 2 3'
loop_
_atom_site_label
_atom_site_type_symbol
_atom_site_fract_x
_atom_site_fract_y
_atom_site_fract_z
Zr1 Zr 0.125 0.125 0.125
Be1 Be 0.250 0.250 0.750
Ni1 Ni 0.000 0.000 0.500

***

# ZrBe2Ni GGA-PBE relaxed
# VASP energy ... -22.56 eV/f.u.
# Total magnetic moment ... 0.00 μB per cell
data_ZrBe2Ni
_chemical_formula_sum 'Zr1 Be2 Ni1'
_cell_length_a 2.669
_cell_length_b 3.049
_cell_length_c 6.056
_cell_angle_alpha 90.00
_cell_angle_beta 90.00
_cell_angle_gamma 90.00
_space_group_name_H-M_alt 'P m m m'
_space_group_IT_number 47
loop_
_space_group_symop_operation_xyz
'x,y,z'
'-x,-y,-z'
'-x,-y,z'
'x,y,-z'
'x,-y,-z'
'-x,y,z'
'-x,y,-z'
'x,-y,z'
loop_
_atom_site_label
_atom_site_type_symbol
_atom_site_fract_x
_atom_site_fract_y
_atom_site_fract_z
Zr1 Zr 0.000 0.000 0.000
Be1 Be 0.500 0.500 0.318
Ni1 Ni 0.000 0.000 0.500

***

# ZrBe2Ni GGA-PBE relaxed
# VASP energy ... -22.59 eV/f.u.
# Total magnetic moment ... 0.00 μB per cell
data_ZrBe2Ni
_chemical_formula_sum 'Zr4 Be8 Ni4'
_cell_length_a 5.793
_cell_length_b 5.793
_cell_length_c 5.793
_cell_angle_alpha 90.00
_cell_angle_beta 90.00
_cell_angle_gamma 90.00
_space_group_name_H-M_alt 'F m -3 m'
_space_group_IT_number 225
_space_group_name_Hall '-F 4 2 3'
loop_
_atom_site_label
_atom_site_type_symbol
_atom_site_fract_x
_atom_site_fract_y
_atom_site_fract_z
Zr1 Zr 0.000 0.000 0.000
Be1 Be 0.250 0.250 0.250
Ni1 Ni 0.000 0.000 0.500

***

# ZrBe3Ni2 GGA-PBE relaxed
# VASP energy ... -33.93 eV/f.u.
# Total magnetic moment ... 0.00 μB per cell
data_ZrBe3Ni2
_chemical_formula_sum 'Zr1 Be3 Ni2'
_cell_length_a 4.6350
_cell_length_b 4.6350
_cell_length_c 3.6743
_cell_angle_alpha 90.00
_cell_angle_beta 90.00
_cell_angle_gamma 120.00
_space_group_name_H-M_alt 'P 6/m m m'
_space_group_IT_number 191
_space_group_name_Hall '-P 6 2'
loop_
_atom_site_label
_atom_site_type_symbol
_atom_site_fract_x
_atom_site_fract_y
_atom_site_fract_z
Zr1 Zr 0.0000 0.0000 0.0000
Be1 Be 0.0000 0.5000 0.5000
Ni1 Ni 0.3333 0.6667 0.0000

***

# NpBe13 GGA-PBE relaxed
# VASP energy ... -62.43 eV/f.u.
# Total magnetic moment ... 31.00 μB per cell
data_NpBe13
_chemical_formula_sum 'Np8 Be104'
_cell_length_a 10.185
_cell_length_b 10.185
_cell_length_c 10.185
_cell_angle_alpha 90.00
_cell_angle_beta 90.00
_cell_angle_gamma 90.00
_space_group_name_H-M_alt 'F m -3 c'
_space_group_IT_number 226
_space_group_name_Hall '-F 4a 2 3'
loop_
_atom_site_label
_atom_site_type_symbol
_atom_site_fract_x
_atom_site_fract_y
_atom_site_fract_z
Np1 Np 0.250 0.250 0.250
Be1 Be 0.000 0.000 0.000
Be2 Be 0.000 0.115 0.176